No. 1
A plane-wave DFT calculation with GGA-PBEsol was carried out for a relaxed Zn3CrH crystal.

Cell lengths 3.8684, 3.8684, 3.8684 Å; angles 90.00, 90.00, 90.00 degrees
Fractional positions:
Zn 0.0000 0.0000 0.5000
Zn 0.0000 0.5000 0.0000
Zn 0.5000 0.0000 0.0000
Cr 0.5000 0.5000 0.5000
H 0.0000 0.0000 0.0000

Calculated values
Total DFT energy (no corrections) in eV/atom: -3.3114
Space-group type: Pm-3m (221)

No. 2
A plane-wave DFT calculation with GGA-PBEsol was carried out for a relaxed CoRuN2 crystal.

Cell lengths 4.3405, 4.3405, 8.7250 Å; angles 90.00, 90.00, 90.00 degrees
Fractional positions:
Co 0.0000 0.0000 0.0000
Co 0.0000 0.5000 0.2500
Co 0.5000 0.0000 0.7500
Co 0.5000 0.5000 0.5000
Ru 0.0000 0.0000 0.5000
Ru 0.0000 0.5000 0.7500
Ru 0.5000 0.0000 0.2500
Ru 0.5000 0.5000 0.0000
N 0.2323 0.2500 0.1250
N 0.2500 0.7323 0.3750
N 0.2500 0.7677 0.8750
N 0.2677 0.2500 0.6250
N 0.7323 0.7500 0.6250
N 0.7500 0.2323 0.8750
N 0.7500 0.2677 0.3750
N 0.7677 0.7500 0.1250

Calculated values
Total DFT energy (no corrections) in eV/atom: -8.7295
Formation energy from raw total energies in kcal/mol of atoms: 0.3
Space-group type: I-42d (122)

No. 3
A plane-wave DFT calculation with GGA-PBEsol was carried out for a relaxed Zr2CuHg crystal.

Cell lengths 3.0396, 3.0396, 8.0317 Å; angles 90.00, 90.00, 90.00 degrees
Fractional positions:
Zr 0.0000 0.0000 0.2246
Zr 0.0000 0.0000 0.7754
Cu 0.5000 0.5000 0.0000
Hg 0.5000 0.5000 0.5000

Calculated values
Total DFT energy (no corrections) in eV/atom: -5.9590
Space-group type: P4/mmm (123)
Calculated formation energy in kJ/mol of formula units: -73

No. 4
A plane-wave DFT calculation with GGA-PBEsol was carried out for a relaxed Mg5In crystal.

Cell lengths 6.0596, 6.0596, 6.0596 Å; angles 53.74, 53.74, 53.74 degrees
Fractional positions:
Mg 0.0000 0.6655 0.3345
Mg 0.1674 0.1674 0.1674
Mg 0.3345 0.0000 0.6655
Mg 0.6655 0.3345 0.0000
Mg 0.8326 0.8326 0.8326
In 0.5000 0.5000 0.5000

Calculated values
Total DFT energy (no corrections) in eV/atom: -1.9851
Space-group type: R32 (155)
Calculated formation energy in kJ/mol of formula units: -33

No. 5
A plane-wave DFT calculation with GGA-PBEsol was carried out for a relaxed Zr2CrPt crystal.

Cell lengths 3.3360, 3.3360, 6.4210 Å; angles 90.00, 90.00, 90.00 degrees
Fractional positions:
Zr 0.0000 0.0000 0.0000
Zr 0.5000 0.5000 0.3077
Cr 0.0000 0.0000 0.5396
Pt 0.5000 0.5000 0.7767

Calculated values
Energy above the most stable polymorph in this dataset in eV/atom: 0.1743
Total DFT energy (no corrections) in eV/atom: -9.0095
Space-group type: P4mm (99)
Calculated formation energy in kJ/mol of formula units: -63

No. 6
A plane-wave DFT calculation with GGA-PBEsol was carried out for a relaxed NbSi3Bi crystal.

Cell lengths 5.1322, 5.1322, 5.1322 Å; angles 90.00, 90.00, 90.00 degrees
Fractional positions:
Nb 0.0000 0.0000 0.0000
Si 0.0000 0.5000 0.5000
Si 0.5000 0.0000 0.5000
Si 0.5000 0.5000 0.0000
Bi 0.5000 0.5000 0.5000

Calculated values
Energy above the most stable polymorph in this dataset in eV/atom: 1.3704
Total DFT energy (no corrections) in eV/atom: -4.4207
Formation energy from raw total energies in kcal/mol of atoms: 47.2
Space-group type: Pm-3m (221)